1.
A plane-wave DFT calculation with PBE with a Hubbard U was carried out for a relaxed Co2SeO2 crystal.

total energy	-5.04	eV per atom
polymorph energy (0 for the lowest one)	0	meV per atom

Cell and atoms, written as CIF:
```
data_Co2SeO2
_space_group_name_H-M_alt 'I 4/m m m'
_space_group_IT_number 139
_space_group_name_Hall '-I 4 2'
_cell_length_a 3.493
_cell_length_b 3.493
_cell_length_c 11.205
_cell_angle_alpha 90.00
_cell_angle_beta 90.00
_cell_angle_gamma 90.00
loop_
_atom_site_label
_atom_site_type_symbol
_atom_site_fract_x
_atom_site_fract_y
_atom_site_fract_z
Co1 Co 0.000 0.000 0.166
Se1 Se 0.000 0.000 0.500
O1 O 0.000 0.500 0.250
```

=====

2.
A plane-wave DFT calculation with PBE with a Hubbard U was carried out for a relaxed CoSe2O crystal.

total energy	-3.92	eV per atom

Cell and atoms, written as CIF:
```
data_CoSe2O
_space_group_name_H-M_alt 'I -4 2 d'
_space_group_IT_number 122
_space_group_name_Hall 'I -4 2bw'
_cell_length_a 5.132
_cell_length_b 5.132
_cell_length_c 10.575
_cell_angle_alpha 90.00
_cell_angle_beta 90.00
_cell_angle_gamma 90.00
loop_
_atom_site_label
_atom_site_type_symbol
_atom_site_fract_x
_atom_site_fract_y
_atom_site_fract_z
Co1 Co 0.000 0.000 0.000
Se1 Se 0.234 0.250 0.125
O1 O 0.000 0.000 0.500
```

=====

3.
A plane-wave DFT calculation with PBE with a Hubbard U was carried out for a relaxed CoSeO2 crystal.

total energy	-4.44	eV per atom

Cell and atoms, written as CIF:
```
data_CoSeO2
_space_group_name_H-M_alt 'R -3 m'
_space_group_IT_number 166
_space_group_name_Hall '-R 3 2"'
_cell_length_a 2.8775
_cell_length_b 2.8775
_cell_length_c 20.2221
_cell_angle_alpha 90.00
_cell_angle_beta 90.00
_cell_angle_gamma 120.00
loop_
_atom_site_label
_atom_site_type_symbol
_atom_site_fract_x
_atom_site_fract_y
_atom_site_fract_z
Co1 Co 0.0000 0.0000 0.0000
Se1 Se 0.0000 0.0000 0.5000
O1 O 0.0000 0.0000 0.0879
```